Zr2NbIr5Rh: optimized geometry, PBE.

Properties
Total energy: -8.6081 eV per atom
D(E_F): 24.639 states/eV/cell
V: 160.20 Å³/f.u.
Theoretical density: 13.88 g cm⁻³

Unit cell a=7.653 b=7.653 c=7.653 alpha=119.25 beta=119.25 gamma=91.30
Atoms (fractional coordinates):
1 Zr 0.121 0.621 0.743
2 Zr 0.379 0.121 0.500
3 Zr 0.621 0.879 0.500
4 Zr 0.879 0.379 0.257
5 Nb 0.250 0.250 0.000
6 Nb 0.750 0.750 0.000
7 Ir 0.000 0.000 0.000
8 Ir 0.061 0.169 0.500
9 Ir 0.169 0.669 0.108
10 Ir 0.331 0.439 0.500
11 Ir 0.439 0.939 0.108
12 Ir 0.500 0.500 0.000
13 Ir 0.561 0.061 0.892
14 Ir 0.669 0.561 0.500
15 Ir 0.831 0.331 0.892
16 Ir 0.939 0.831 0.500
17 Rh 0.250 0.750 0.500
18 Rh 0.750 0.250 0.500